Tc2Cl: optimized geometry, PBE.

Cell lengths 3.9981, 3.9981, 3.9981 Å; angles 60.00, 60.00, 60.00 degrees
Fractional coordinates of all 3 atoms:
Cl1 0.0000 0.0000 0.0000
Tc1 0.7500 0.7500 0.7500
Tc2 0.2500 0.2500 0.2500

Electronic total energy (eV per atom): -6.181
Calculated volume (Å³/atom): 15.06
Space-group type: No. 225
Total moment (μB per formula unit): 0.02